[1]
# Be2BiOsBr GGA-PBEsol relaxed
# Calculated total energy in eV/atom: -3.0761
# Formation energy from raw total energies in eV/atom: 2.198
# Size of the total moment in μB per formula unit: 2.66
data_Be2BiOsBr
_chemical_formula_sum 'Be2 Bi1 Os1 Br1'
_cell_length_a 4.6738
_cell_length_b 4.6738
_cell_length_c 5.5070
_cell_angle_alpha 90.00
_cell_angle_beta 90.00
_cell_angle_gamma 90.00
_space_group_name_H-M_alt 'P 1'
_space_group_IT_number 1
loop_
_space_group_symop_operation_xyz
'x,y,z'
loop_
_atom_site_label
_atom_site_type_symbol
_atom_site_fract_x
_atom_site_fract_y
_atom_site_fract_z
Be1 Be 0.0000 0.5000 0.0000
Be2 Be 0.5000 0.0000 0.0000
Bi1 Bi 0.0000 0.0000 0.0000
Os1 Os 0.5000 0.5000 0.5000
Br1 Br 0.0000 0.0000 0.5000

---

[2]
# NiSb3Pt GGA-PBEsol relaxed
# Offset from the most stable computed form in eV per atom: 0.000
# Calculated total energy in eV/atom: -4.9091
# Formation energy from raw total energies in eV/atom: 0.449
# Size of the total moment in μB per formula unit: 0.00
data_NiSb3Pt
_chemical_formula_sum 'Ni1 Sb3 Pt1'
_cell_length_a 4.7989
_cell_length_b 4.7989
_cell_length_c 4.7989
_cell_angle_alpha 90.00
_cell_angle_beta 90.00
_cell_angle_gamma 90.00
_space_group_name_H-M_alt 'P 1'
_space_group_IT_number 1
loop_
_space_group_symop_operation_xyz
'x,y,z'
loop_
_atom_site_label
_atom_site_type_symbol
_atom_site_fract_x
_atom_site_fract_y
_atom_site_fract_z
Ni1 Ni 0.0000 0.0000 0.0000
Sb1 Sb 0.0000 0.0000 0.5000
Sb2 Sb 0.0000 0.5000 0.0000
Sb3 Sb 0.5000 0.0000 0.0000
Pt1 Pt 0.5000 0.5000 0.5000

---

[3]
# TbHoIr2 GGA-PBEsol relaxed
# Calculated total energy in eV/atom: -8.1863
# Energy of formation from the pure elements in eV per atom: -0.785
# Size of the total moment in μB per formula unit: 0.00
data_TbHoIr2
_chemical_formula_sum 'Tb1 Ho1 Ir2'
_cell_length_a 4.7747
_cell_length_b 4.7747
_cell_length_c 4.7747
_cell_angle_alpha 60.00
_cell_angle_beta 60.00
_cell_angle_gamma 60.00
_space_group_name_H-M_alt 'P 1'
_space_group_IT_number 1
loop_
_space_group_symop_operation_xyz
'x,y,z'
loop_
_atom_site_label
_atom_site_type_symbol
_atom_site_fract_x
_atom_site_fract_y
_atom_site_fract_z
Tb1 Tb 0.0000 0.0000 0.0000
Ho1 Ho 0.5000 0.5000 0.5000
Ir1 Ir 0.2500 0.2500 0.2500
Ir2 Ir 0.7500 0.7500 0.7500

---

[4]
# In2FeSb GGA-PBEsol relaxed
# Calculated total energy in eV/atom: -4.7237
# Formation energy from raw total energies in eV/atom: 0.148
# Size of the total moment in μB per formula unit: 0.00
data_In2FeSb
_chemical_formula_sum 'In2 Fe1 Sb1'
_cell_length_a 6.8535
_cell_length_b 6.8535
_cell_length_c 6.8535
_cell_angle_alpha 154.66
_cell_angle_beta 142.56
_cell_angle_gamma 45.75
_space_group_name_H-M_alt 'P 1'
_space_group_IT_number 1
loop_
_space_group_symop_operation_xyz
'x,y,z'
loop_
_atom_site_label
_atom_site_type_symbol
_atom_site_fract_x
_atom_site_fract_y
_atom_site_fract_z
In1 In 0.0000 0.0000 0.0000
In2 In 0.6720 0.1720 0.5000
Fe1 Fe 0.4897 0.4897 0.0000
Sb1 Sb 0.3246 0.8246 0.5000

---

[5]
# BaSrMg4 GGA-PBEsol relaxed
# Calculated total energy in eV/atom: -1.9110
# Energy of formation from the pure elements in eV per atom: -0.101
# Size of the total moment in μB per formula unit: 0.00
data_BaSrMg4
_chemical_formula_sum 'Ba1 Sr1 Mg4'
_cell_length_a 6.4496
_cell_length_b 6.4496
_cell_length_c 6.4496
_cell_angle_alpha 60.00
_cell_angle_beta 60.00
_cell_angle_gamma 60.00
_space_group_name_H-M_alt 'P 1'
_space_group_IT_number 1
loop_
_space_group_symop_operation_xyz
'x,y,z'
loop_
_atom_site_label
_atom_site_type_symbol
_atom_site_fract_x
_atom_site_fract_y
_atom_site_fract_z
Ba1 Ba 0.0000 0.0000 0.0000
Sr1 Sr 0.2500 0.2500 0.2500
Mg1 Mg 0.1249 0.6250 0.6250
Mg2 Mg 0.6250 0.1249 0.6250
Mg3 Mg 0.6250 0.6250 0.1249
Mg4 Mg 0.6250 0.6250 0.6250

---

[6]
# AlNi3 GGA-PBEsol relaxed
# Calculated total energy in eV/atom: -6.0759
# Energy of formation from the pure elements in eV per atom: -0.435
# Size of the total moment in μB per formula unit: 0.53
data_AlNi3
_chemical_formula_sum 'Al2 Ni6'
_cell_length_a 5.0000
_cell_length_b 5.0000
_cell_length_c 4.0232
_cell_angle_alpha 90.00
_cell_angle_beta 90.00
_cell_angle_gamma 120.00
_space_group_name_H-M_alt 'P 1'
_space_group_IT_number 1
loop_
_space_group_symop_operation_xyz
'x,y,z'
loop_
_atom_site_label
_atom_site_type_symbol
_atom_site_fract_x
_atom_site_fract_y
_atom_site_fract_z
Al1 Al 0.3333 0.6667 0.2500
Al2 Al 0.6667 0.3333 0.7500
Ni1 Ni 0.1644 0.3287 0.7500
Ni2 Ni 0.1644 0.8356 0.7500
Ni3 Ni 0.3287 0.1644 0.2500
Ni4 Ni 0.6713 0.8356 0.7500
Ni5 Ni 0.8356 0.1644 0.2500
Ni6 Ni 0.8356 0.6713 0.2500

---

[7]
# SrCdSCl2 GGA-PBEsol relaxed
# Calculated total energy in eV/atom: -3.0477
# Formation energy from raw total energies in eV/atom: -0.760
# Size of the total moment in μB per formula unit: 0.17
data_SrCdSCl2
_chemical_formula_sum 'Sr1 Cd1 S1 Cl2'
_cell_length_a 5.3407
_cell_length_b 5.3407
_cell_length_c 5.7692
_cell_angle_alpha 90.00
_cell_angle_beta 90.00
_cell_angle_gamma 90.00
_space_group_name_H-M_alt 'P 1'
_space_group_IT_number 1
loop_
_space_group_symop_operation_xyz
'x,y,z'
loop_
_atom_site_label
_atom_site_type_symbol
_atom_site_fract_x
_atom_site_fract_y
_atom_site_fract_z
Sr1 Sr 0.0000 0.0000 0.0000
Cd1 Cd 0.5000 0.5000 0.5000
S1 S 0.0000 0.0000 0.5000
Cl1 Cl 0.0000 0.5000 0.0000
Cl2 Cl 0.5000 0.0000 0.0000

---

[8]
# Na2Si2Pt GGA-PBEsol relaxed
# Calculated total energy in eV/atom: -4.6059
# Formation energy from raw total energies in eV/atom: -0.355
# Size of the total moment in μB per formula unit: 0.00
data_Na2Si2Pt
_chemical_formula_sum 'Na4 Si4 Pt2'
_cell_length_a 6.1817
_cell_length_b 6.1817
_cell_length_c 4.9126
_cell_angle_alpha 90.00
_cell_angle_beta 90.00
_cell_angle_gamma 90.00
_space_group_name_H-M_alt 'P 1'
_space_group_IT_number 1
loop_
_space_group_symop_operation_xyz
'x,y,z'
loop_
_atom_site_label
_atom_site_type_symbol
_atom_site_fract_x
_atom_site_fract_y
_atom_site_fract_z
Na1 Na 0.1820 0.3180 0.0000
Na2 Na 0.3180 0.8180 0.0000
Na3 Na 0.6820 0.1820 0.0000
Na4 Na 0.8180 0.6820 0.0000
Si1 Si 0.1332 0.6332 0.5000
Si2 Si 0.3668 0.1332 0.5000
Si3 Si 0.6332 0.8668 0.5000
Si4 Si 0.8668 0.3668 0.5000
Pt1 Pt 0.0000 0.0000 0.5000
Pt2 Pt 0.5000 0.5000 0.5000

---

[9]
# CaHoTi2O6 GGA-PBEsol relaxed
# Calculated total energy in eV/atom: -8.7968
# Formation energy from raw total energies in eV/atom: -3.274
# Size of the total moment in μB per formula unit: 0.00
data_CaHoTi2O6
_chemical_formula_sum 'Ca2 Ho2 Ti4 O12'
_cell_length_a 7.6019
_cell_length_b 5.5148
_cell_length_c 5.2904
_cell_angle_alpha 90.00
_cell_angle_beta 90.00
_cell_angle_gamma 90.00
_space_group_name_H-M_alt 'P 1'
_space_group_IT_number 1
loop_
_space_group_symop_operation_xyz
'x,y,z'
loop_
_atom_site_label
_atom_site_type_symbol
_atom_site_fract_x
_atom_site_fract_y
_atom_site_fract_z
Ca1 Ca 0.0000 0.1959 0.0000
Ca2 Ca 0.5000 0.8041 0.5000
Ho1 Ho 0.0000 0.6835 0.4716
Ho2 Ho 0.5000 0.3165 0.9716
Ti1 Ti 0.2498 0.2464 0.4878
Ti2 Ti 0.2502 0.7536 0.9878
Ti3 Ti 0.7502 0.2464 0.4878
Ti4 Ti 0.7498 0.7536 0.9878
O1 O 0.0000 0.2810 0.5737
O2 O 0.0000 0.7781 0.8821
O3 O 0.1970 0.9448 0.2976
O4 O 0.2024 0.4590 0.1936
O5 O 0.2976 0.5410 0.6936
O6 O 0.3030 0.0552 0.7976
O7 O 0.5000 0.2219 0.3821
O8 O 0.5000 0.7190 0.0737
O9 O 0.6970 0.0552 0.7976
O10 O 0.7024 0.5410 0.6936
O11 O 0.7976 0.4590 0.1936
O12 O 0.8030 0.9448 0.2976

---

[10]
# MgMo2C GGA-PBEsol relaxed
# Calculated total energy in eV/atom: -7.2304
# Energy of formation from the pure elements in eV per atom: 1.494
# Size of the total moment in μB per formula unit: 0.00
data_MgMo2C
_chemical_formula_sum 'Mg1 Mo2 C1'
_cell_length_a 4.1646
_cell_length_b 4.1646
_cell_length_c 4.1646
_cell_angle_alpha 60.00
_cell_angle_beta 60.00
_cell_angle_gamma 60.00
_space_group_name_H-M_alt 'P 1'
_space_group_IT_number 1
loop_
_space_group_symop_operation_xyz
'x,y,z'
loop_
_atom_site_label
_atom_site_type_symbol
_atom_site_fract_x
_atom_site_fract_y
_atom_site_fract_z
Mg1 Mg 0.0000 0.0000 0.0000
Mo1 Mo 0.2500 0.2500 0.2500
Mo2 Mo 0.7500 0.7500 0.7500
C1 C 0.5000 0.5000 0.5000

---

[11]
# Cs2IrCl6 GGA-PBEsol relaxed
# Calculated total energy in eV/atom: -3.8707
# Formation energy from raw total energies in eV/atom: -1.231
# Size of the total moment in μB per formula unit: 1.09
data_Cs2IrCl6
_chemical_formula_sum 'Cs2 Ir1 Cl6'
_cell_length_a 7.1591
_cell_length_b 7.1591
_cell_length_c 7.1591
_cell_angle_alpha 60.00
_cell_angle_beta 60.00
_cell_angle_gamma 60.00
_space_group_name_H-M_alt 'P 1'
_space_group_IT_number 1
loop_
_space_group_symop_operation_xyz
'x,y,z'
loop_
_atom_site_label
_atom_site_type_symbol
_atom_site_fract_x
_atom_site_fract_y
_atom_site_fract_z
Cs1 Cs 0.2500 0.2500 0.2500
Cs2 Cs 0.7500 0.7500 0.7500
Ir1 Ir 0.0000 0.0000 0.0000
Cl1 Cl 0.2293 0.2293 0.7707
Cl2 Cl 0.2293 0.7707 0.2293
Cl3 Cl 0.2293 0.7707 0.7707
Cl4 Cl 0.7707 0.2293 0.2293
Cl5 Cl 0.7707 0.2293 0.7707
Cl6 Cl 0.7707 0.7707 0.2293

---

[12]
# RbTi3Ag GGA-PBEsol relaxed
# Calculated total energy in eV/atom: -4.5520
# Energy of formation from the pure elements in eV per atom: 1.309
# Size of the total moment in μB per formula unit: 0.00
data_RbTi3Ag
_chemical_formula_sum 'Rb1 Ti3 Ag1'
_cell_length_a 5.0179
_cell_length_b 5.0179
_cell_length_c 5.0179
_cell_angle_alpha 90.00
_cell_angle_beta 90.00
_cell_angle_gamma 90.00
_space_group_name_H-M_alt 'P 1'
_space_group_IT_number 1
loop_
_space_group_symop_operation_xyz
'x,y,z'
loop_
_atom_site_label
_atom_site_type_symbol
_atom_site_fract_x
_atom_site_fract_y
_atom_site_fract_z
Rb1 Rb 0.0000 0.0000 0.0000
Ti1 Ti 0.0000 0.5000 0.5000
Ti2 Ti 0.5000 0.0000 0.5000
Ti3 Ti 0.5000 0.5000 0.0000
Ag1 Ag 0.5000 0.5000 0.5000

---

[13]
# HoSi2 GGA-PBEsol relaxed
# Calculated total energy in eV/atom: -6.0706
# Formation energy from raw total energies in eV/atom: -0.589
# Size of the total moment in μB per formula unit: 0.00
data_HoSi2
_chemical_formula_sum 'Ho1 Si2'
_cell_length_a 4.0732
_cell_length_b 4.0732
_cell_length_c 3.8071
_cell_angle_alpha 90.00
_cell_angle_beta 90.00
_cell_angle_gamma 120.00
_space_group_name_H-M_alt 'P 1'
_space_group_IT_number 1
loop_
_space_group_symop_operation_xyz
'x,y,z'
loop_
_atom_site_label
_atom_site_type_symbol
_atom_site_fract_x
_atom_site_fract_y
_atom_site_fract_z
Ho1 Ho 0.0000 0.0000 0.0000
Si1 Si 0.3333 0.6667 0.5000
Si2 Si 0.6667 0.3333 0.5000